1.
Here is an optimized crystal structure of TlZn2Ni2 from the Alexandria database. Energies are from PBE.

Cell and atoms, written as CIF:
```
data_TlZn2Ni2
_chemical_formula_sum 'Tl2 Zn4 Ni4'
_cell_length_a 3.7822
_cell_length_b 3.7822
_cell_length_c 11.5282
_cell_angle_alpha 90.00
_cell_angle_beta 90.00
_cell_angle_gamma 90.00
_symmetry_space_group_name_H-M 'I 4/m m m'
_symmetry_Int_Tables_number 139
_symmetry_space_group_name_Hall '-I 4 2'
loop_
_atom_site_label
_atom_site_type_symbol
_atom_site_fract_x
_atom_site_fract_y
_atom_site_fract_z
Tl1 Tl 0.0000 0.0000 0.0000
Zn1 Zn 0.0000 0.0000 0.3828
Ni1 Ni 0.0000 0.5000 0.2500
```

Output
Crystal system: tetragonal
Polymorph energy (0 for the lowest one) (meV per atom): 152.0
ΔH_f (0 K) (eV/atom): 0.178
Density of states at the Fermi level (states/eV/f.u.): 2.15
V (Å³ per atom): 16.5
Electronic total energy (eV/atom): -3.117


2.
Here is an optimized crystal structure of TlZn2Ni from the Alexandria database. Energies are from PBE.

Cell and atoms, written as CIF:
```
data_TlZn2Ni
_chemical_formula_sum 'Tl4 Zn8 Ni4'
_cell_length_a 3.9973
_cell_length_b 3.9973
_cell_length_c 18.2853
_cell_angle_alpha 90.00
_cell_angle_beta 90.00
_cell_angle_gamma 90.00
_symmetry_space_group_name_H-M 'I -4 2 d'
_symmetry_Int_Tables_number 122
_symmetry_space_group_name_Hall 'I -4 2bw'
loop_
_atom_site_label
_atom_site_type_symbol
_atom_site_fract_x
_atom_site_fract_y
_atom_site_fract_z
Tl1 Tl 0.0000 0.0000 0.0000
Zn1 Zn 0.1893 0.2500 0.6250
Ni1 Ni 0.0000 0.0000 0.5000
```

Output
Crystal system: tetragonal
Polymorph energy (0 for the lowest one) (meV per atom): 201.2
ΔH_f (0 K) (eV/atom): 0.260
Density of states at the Fermi level (states/eV/f.u.): 1.80
V (Å³ per atom): 18.3
Electronic total energy (eV/atom): -2.414


3.
Here is an optimized crystal structure of TlZn2Ni from the Alexandria database. Energies are from PBE.

Cell and atoms, written as CIF:
```
data_TlZn2Ni
_chemical_formula_sum 'Tl2 Zn4 Ni2'
_cell_length_a 5.3536
_cell_length_b 9.5552
_cell_length_c 3.1289
_cell_angle_alpha 90.00
_cell_angle_beta 120.42
_cell_angle_gamma 90.00
_symmetry_space_group_name_H-M 'C 1 2/m 1'
_symmetry_Int_Tables_number 12
_symmetry_space_group_name_Hall '-C 2y'
loop_
_atom_site_label
_atom_site_type_symbol
_atom_site_fract_x
_atom_site_fract_y
_atom_site_fract_z
Tl1 Tl 0.0000 0.0000 0.0000
Zn1 Zn 0.2500 0.2500 0.0000
Ni1 Ni 0.0000 0.5000 0.0000
```

Output
Crystal system: monoclinic
Polymorph energy (0 for the lowest one) (meV per atom): 187.4
ΔH_f (0 K) (eV/atom): 0.246
Density of states at the Fermi level (states/eV/f.u.): 1.57
V (Å³ per atom): 17.3
Electronic total energy (eV/atom): -2.428


4.
Here is an optimized crystal structure of TlZnNi from the Alexandria database. Energies are from PBE.

Cell and atoms, written as CIF:
```
data_TlZnNi
_chemical_formula_sum 'Tl4 Zn4 Ni4'
_cell_length_a 4.6293
_cell_length_b 4.6366
_cell_length_c 9.6009
_cell_angle_alpha 90.00
_cell_angle_beta 90.00
_cell_angle_gamma 90.00
_symmetry_space_group_name_H-M 'F m m 2'
_symmetry_Int_Tables_number 42
_symmetry_space_group_name_Hall 'F 2 -2'
loop_
_atom_site_label
_atom_site_type_symbol
_atom_site_fract_x
_atom_site_fract_y
_atom_site_fract_z
Tl1 Tl 0.0000 0.0000 0.0000
Zn1 Zn 0.0000 0.0000 0.2923
Ni1 Ni 0.0000 0.0000 0.6941
```

Output
Crystal system: orthorhombic
Polymorph energy (0 for the lowest one) (meV per atom): 9.5
ΔH_f (0 K) (eV/atom): 0.165
Density of states at the Fermi level (states/eV/f.u.): 0.89
V (Å³ per atom): 17.2
Electronic total energy (eV/atom): -2.976


5.
Here is an optimized crystal structure of TlZnNi2 from the Alexandria database. Energies are from PBE.

Cell and atoms, written as CIF:
```
data_TlZnNi2
_chemical_formula_sum 'Tl3 Zn3 Ni6'
_cell_length_a 3.0258
_cell_length_b 3.0258
_cell_length_c 24.7422
_cell_angle_alpha 90.00
_cell_angle_beta 90.00
_cell_angle_gamma 120.00
_symmetry_space_group_name_H-M 'R 3 m'
_symmetry_Int_Tables_number 160
_symmetry_space_group_name_Hall 'R 3 -2"'
loop_
_atom_site_label
_atom_site_type_symbol
_atom_site_fract_x
_atom_site_fract_y
_atom_site_fract_z
Tl1 Tl 0.0000 0.0000 0.0000
Zn1 Zn 0.0000 0.0000 0.7714
Ni1 Ni 0.0000 0.0000 0.2454
Ni2 Ni 0.0000 0.0000 0.5097
```

Output
Crystal system: trigonal
Polymorph energy (0 for the lowest one) (meV per atom): 309.2
ΔH_f (0 K) (eV/atom): 0.408
Density of states at the Fermi level (states/eV/f.u.): 5.78
V (Å³ per atom): 16.3
Electronic total energy (eV/atom): -3.393


6.
Here is an optimized crystal structure of TlZnNi from the Alexandria database. Energies are from PBE.

Cell and atoms, written as CIF:
```
data_TlZnNi
_chemical_formula_sum 'Tl4 Zn4 Ni4'
_cell_length_a 6.1855
_cell_length_b 6.1855
_cell_length_c 6.1855
_cell_angle_alpha 90.00
_cell_angle_beta 90.00
_cell_angle_gamma 90.00
_symmetry_space_group_name_H-M 'F -4 3 m'
_symmetry_Int_Tables_number 216
_symmetry_space_group_name_Hall 'F -4 2 3'
loop_
_atom_site_label
_atom_site_type_symbol
_atom_site_fract_x
_atom_site_fract_y
_atom_site_fract_z
Tl1 Tl 0.0000 0.0000 0.0000
Zn1 Zn 0.2500 0.2500 0.2500
Ni1 Ni 0.2500 0.2500 0.7500
```

Output
Crystal system: cubic
Polymorph energy (0 for the lowest one) (meV per atom): 335.1
ΔH_f (0 K) (eV/atom): 0.490
Density of states at the Fermi level (states/eV/f.u.): 3.20
V (Å³ per atom): 19.7
Electronic total energy (eV/atom): -2.650